Density functional theory data (GGA-PBE) for KTl2Cl2 after structural relaxation.

a = 8.085 Å, b = 8.085 Å, c = 5.073 Å
α = 90.00°, β = 90.00°, γ = 90.00°
Positions (direct):
Tl (0.835, 0.335, 0.500)
Cl (0.836, 0.664, 0.000)
Cl (0.664, 0.164, 0.000)
K (0.000, 0.000, 0.000)
Tl (0.335, 0.165, 0.500)
Tl (0.665, 0.835, 0.500)
Cl (0.336, 0.836, 0.000)
Cl (0.164, 0.336, 0.000)
Tl (0.165, 0.665, 0.500)
K (0.500, 0.500, 0.000)

Output
Excess energy over the best structure of this formula in the dataset, eV per formula unit: 0.35
Magnetization, Bohr magnetons per cell: 0.00
Symmetry: P4/mbm (127)
Mass density, g/cm³: 5.195
Raw formation energy, kJ per mole of atoms: -88.2